# CaMgZnO3

An optimized crystal structure of CaMgZnO3 (PBE, Alexandria via LeMat-Bulk).

Structure (POSCAR):
```
CaMgZnO3
1.0
6.1055 0.0000 0.0000
0.0000 3.0645 0.0000
-0.9232 0.0000 8.6435
Ca Mg Zn O
2 2 2 6
Direct
0.1826 0.2500 0.2362
0.8174 0.7500 0.7638
0.3544 0.7500 0.8915
0.6456 0.2500 0.1085
0.1749 0.2500 0.5917
0.8251 0.7500 0.4083
0.1350 0.2500 0.8114
0.2048 0.7500 0.4557
0.4029 0.7500 0.1256
0.5971 0.2500 0.8744
0.7952 0.2500 0.5443
0.8650 0.7500 0.1886
```

Summary:
As for the calculated density: 3.7 g/cm3. The magnetization is 0.00 μB per cell. Its crystal system is monoclinic. For the raw formation energy, the calculation gives -2.218 eV/atom. The calculation puts the density of states at the Fermi level at 0.00 states/eV/f.u.